An optimized crystal structure of ZnIrCl. Source: Alexandria, functional GGA-PBE. Values from VASP.

Properties
DOS(E_F): 0.71 states/eV per atom
distance to the lowest polymorph of the same formula: 0.0457 eV/atom
V: 65.3 Å³/cell
final energy: -3.75 eV/atom
space-group type: Imm2
E_form (uncorrected): 0.24 eV/atom
total moment: 0.0 μB per formula unit

The structure in Quantum ESPRESSO input format:
```
&SYSTEM
  ibrav = 0, nat = 3, ntyp = 3
/
ATOMIC_SPECIES
Ir 192.22 Ir.upf
Zn 65.41 Zn.upf
Cl 35.45 Cl.upf
ATOMIC_POSITIONS crystal
Ir 0.205 0.205 0.000
Zn 0.779 0.779 0.000
Cl 0.016 0.016 0.000
CELL_PARAMETERS angstrom
-0.823 -3.694 -5.193
3.723 -3.829 -3.574
-2.745 2.024 5.446
```



An optimized crystal structure of Zr4IrCl. Source: Alexandria, functional GGA-PBE. Values from VASP.

Properties
DOS(E_F): 1.21 states/eV per atom
V: 127.5 Å³/cell
final energy: -6.96 eV/atom
space-group type: F-43m
E_form (uncorrected): 0.53 eV/atom
total moment: 0.0 μB per formula unit

The structure in Quantum ESPRESSO input format:
```
&SYSTEM
  ibrav = 0, nat = 6, ntyp = 3
/
ATOMIC_SPECIES
Ir 192.22 Ir.upf
Zr 91.22 Zr.upf
Cl 35.45 Cl.upf
ATOMIC_POSITIONS crystal
Ir 0.000 0.000 0.000
Zr 0.373 0.373 0.880
Zr 0.373 0.880 0.373
Zr 0.373 0.373 0.373
Cl 0.750 0.750 0.750
Zr 0.880 0.373 0.373
CELL_PARAMETERS angstrom
-3.478 0.343 4.440
-5.591 -0.283 -0.763
-2.857 -4.565 1.710
```



An optimized crystal structure of ZrIr3Cl. Source: Alexandria, functional GGA-PBE. Values from VASP.

Properties
DOS(E_F): 1.44 states/eV per atom
distance to the lowest polymorph of the same formula: 0.0000 eV/atom
V: 88.9 Å³/cell
final energy: -6.48 eV/atom
space-group type: Pm-3m
E_form (uncorrected): 0.91 eV/atom
total moment: 0.0 μB per formula unit

The structure in Quantum ESPRESSO input format:
```
&SYSTEM
  ibrav = 0, nat = 5, ntyp = 3
/
ATOMIC_SPECIES
Zr 91.22 Zr.upf
Ir 192.22 Ir.upf
Cl 35.45 Cl.upf
ATOMIC_POSITIONS crystal
Zr 0.500 0.500 0.500
Ir 0.000 0.000 0.500
Ir 0.000 0.500 0.000
Cl 0.000 0.000 0.000
Ir 0.500 0.000 0.000
CELL_PARAMETERS angstrom
-2.077 -3.923 0.459
3.672 -2.108 -1.410
1.456 -0.278 4.209
```